# 1
Compound: AlOsIN2
Source: the Alexandria database
Functional: GGA-PBEsol
Structure: relaxed

Cell: 3.884 3.884 5.647 Å, 90.00 90.00 90.00°
Sites, in units of the cell vectors:
Al 0.000 0.000 0.000
Os 0.500 0.500 0.500
I 0.500 0.500 0.000
N 0.000 0.500 0.500
N 0.500 0.000 0.500

The calculation puts the uncorrected formation energy at 0.8234 eV/atom.

# 2
Compound: AlOsI2N
Source: the Alexandria database
Functional: GGA-PBEsol
Structure: relaxed

Cell: 5.364 5.364 3.390 Å, 90.00 90.00 90.00°
Sites, in units of the cell vectors:
Al 0.000 0.000 0.000
Os 0.500 0.500 0.500
I 0.000 0.500 0.000
I 0.500 0.000 0.000
N 0.000 0.000 0.500

The calculation puts the uncorrected formation energy at 1.1357 eV/atom.

# 3
Compound: AlPI2N
Source: the Alexandria database
Functional: GGA-PBEsol
Structure: relaxed

Cell: 5.992 5.992 3.342 Å, 90.00 90.00 90.00°
Sites, in units of the cell vectors:
Al 0.000 0.000 0.000
P 0.500 0.500 0.500
I 0.000 0.500 0.500
I 0.500 0.000 0.500
N 0.500 0.500 0.000

The calculation puts the uncorrected formation energy at 0.4529 eV/atom.

# 4
Compound: AlSIN2
Source: the Alexandria database
Functional: GGA-PBEsol
Structure: relaxed

Cell: 3.709 3.709 6.845 Å, 90.00 90.00 90.00°
Sites, in units of the cell vectors:
Al 0.000 0.000 0.000
S 0.500 0.500 0.500
I 0.000 0.000 0.500
N 0.000 0.500 0.000
N 0.500 0.000 0.000

The calculation puts the uncorrected formation energy at 0.8924 eV/atom.

# 5
Compound: ScAlI2N
Source: the Alexandria database
Functional: GGA-PBEsol
Structure: relaxed

Cell: 5.844 5.844 3.961 Å, 90.00 90.00 90.00°
Sites, in units of the cell vectors:
Sc 0.000 0.000 0.000
Al 0.500 0.500 0.500
I 0.000 0.500 0.000
I 0.500 0.000 0.000
N 0.000 0.000 0.500

The calculation puts the uncorrected formation energy at -0.1489 eV/atom.

# 6
Compound: AlSeI2N
Source: the Alexandria database
Functional: GGA-PBEsol
Structure: relaxed

Cell: 5.964 5.964 3.695 Å, 90.00 90.00 90.00°
Sites, in units of the cell vectors:
Al 0.000 0.000 0.000
Se 0.500 0.500 0.500
I 0.000 0.500 0.500
I 0.500 0.000 0.500
N 0.500 0.500 0.000

The calculation puts the uncorrected formation energy at 0.6913 eV/atom.